The following is a PBE calculation of NaGe3Se after structural relaxation, from Alexandria via LeMat-Bulk.

Properties
As for the mass density: 3.67 g/cm³. Its density of states at the Fermi level is 3.62 states/eV per cell. The uncorrected formation energy comes out at 466 meV/atom. As for the energy above the most stable polymorph in this dataset: 0 meV per atom. The calculation puts the total energy at -3.266 eV per atom.

Cell lengths 5.2483, 5.2483, 5.2483 Å; angles 90.00, 90.00, 90.00 degrees
Closest atoms and distances in Å follow each position.
Fractional positions:
1 Ge 0.0000 0.0000 0.5000  2 Se 2.62
2 Na 0.5000 0.5000 0.5000  12 Ge 3.71
3 Ge 0.0000 0.5000 0.0000  2 Se 2.62
4 Se 0.0000 0.0000 0.0000  6 Ge 2.62
5 Ge 0.5000 0.0000 0.0000  2 Se 2.62